Ca4Ga2F | the Alexandria database | GGA-PBE | optimized geometry; formation energy (no corrections) = -1.011 eV/atom
1.0
-4.5220 0.4757 1.5857
0.7369 -3.5518 3.1672
4.3143 6.7932 2.9535
Ca Ga F
4 2 1
Cartesian
-0.3637 1.7795 5.7412
0.8929 1.9376 1.9651
0.3685 -1.7759 1.5836
-2.2610 0.2378 0.7928
-1.2941 -0.2395 3.6935
1.8233 3.9565 4.0128
0.0000 0.0000 0.0000